Record 1
The following is a PBE-GGA calculation of a relaxed structure of HgWSe2Br, from the Alexandria database.

As for the crystal system: tetragonal. Its relative energy among the computed polymorphs is 0 meV/atom. The energy relative to the elements, uncorrected comes out at 0.772 eV per formula unit.

a = 4.9281 Å, b = 4.9281 Å, c = 5.3715 Å
α = 90.00°, β = 90.00°, γ = 90.00°
Closest atoms and distances in Å follow each position.
Fractional coordinates of all 5 atoms:
1 W 0.0000 0.0000 0.0000  4 Se 2.46, 2 Br 2.69
2 Br 0.0000 0.0000 0.5000  2 W 2.69
3 Se 0.0000 0.5000 0.0000  2 W 2.46
4 Hg 0.5000 0.5000 0.5000  4 Br 3.48, 8 Se 3.64
5 Se 0.5000 0.0000 0.0000  2 W 2.46


Record 2
The following is a PBE-GGA calculation of a relaxed structure of ZnHgSeBr2, from the Alexandria database.

As for the crystal system: tetragonal. Its relative energy among the computed polymorphs is 337 meV/atom. The energy relative to the elements, uncorrected comes out at 1.545 eV per formula unit.

a = 5.4425 Å, b = 5.4425 Å, c = 5.4354 Å
α = 90.00°, β = 90.00°, γ = 90.00°
Closest atoms and distances in Å follow each position.
Fractional coordinates of all 5 atoms:
1 Br 0.0000 0.5000 0.0000  2 Hg 2.72
2 Zn 0.5000 0.5000 0.5000  8 Br 3.85, 4 Se 3.85
3 Se 0.0000 0.0000 0.5000  2 Hg 2.72
4 Hg 0.0000 0.0000 0.0000  2 Se 2.72, 4 Br 2.72
5 Br 0.5000 0.0000 0.0000  2 Hg 2.72


Record 3
The following is a PBE-GGA calculation of a relaxed structure of ZnHgSe2Br, from the Alexandria database.

As for the crystal system: tetragonal. Its relative energy among the computed polymorphs is 0 meV/atom. The energy relative to the elements, uncorrected comes out at 1.093 eV per formula unit.

a = 5.0492 Å, b = 5.0492 Å, c = 5.0984 Å
α = 90.00°, β = 90.00°, γ = 90.00°
Closest atoms and distances in Å follow each position.
Fractional coordinates of all 5 atoms:
1 Se 0.0000 0.5000 0.0000  2 Zn 2.52
2 Br 0.0000 0.0000 0.5000  2 Zn 2.55
3 Hg 0.5000 0.5000 0.5000  4 Br 3.57, 8 Se 3.59
4 Zn 0.0000 0.0000 0.0000  4 Se 2.52, 2 Br 2.55
5 Se 0.5000 0.0000 0.0000  2 Zn 2.52


Record 4
The following is a PBE-GGA calculation of a relaxed structure of ZnHgSeBr2, from the Alexandria database.

As for the crystal system: tetragonal. Its relative energy among the computed polymorphs is 0 meV/atom. The energy relative to the elements, uncorrected comes out at -0.138 eV per formula unit.

a = 5.0551 Å, b = 5.3363 Å, c = 5.0551 Å
α = 90.00°, β = 90.00°, γ = 90.00°
Closest atoms and distances in Å follow each position.
Fractional coordinates of all 5 atoms:
1 Se 0.0000 0.5000 0.0000  2 Zn 2.67
2 Br 0.0000 0.0000 0.5000  2 Zn 2.53
3 Zn 0.0000 0.0000 0.0000  4 Br 2.53, 2 Se 2.67
4 Hg 0.5000 0.5000 0.5000  4 Se 3.57, 8 Br 3.68
5 Br 0.5000 0.0000 0.0000  2 Zn 2.53


Record 5
The following is a PBE-GGA calculation of a relaxed structure of ZnHgSe2Br, from the Alexandria database.

As for the crystal system: tetragonal. Its relative energy among the computed polymorphs is 339 meV/atom. The energy relative to the elements, uncorrected comes out at 2.788 eV per formula unit.

a = 5.3131 Å, b = 5.3131 Å, c = 5.4387 Å
α = 90.00°, β = 90.00°, γ = 90.00°
Closest atoms and distances in Å follow each position.
Fractional coordinates of all 5 atoms:
1 Se 0.5000 0.0000 0.0000  2 Hg 2.66
2 Se 0.0000 0.5000 0.0000  2 Hg 2.66
3 Hg 0.0000 0.0000 0.0000  4 Se 2.66, 2 Br 2.72
4 Br 0.0000 0.0000 0.5000  2 Hg 2.72
5 Zn 0.5000 0.5000 0.5000  4 Br 3.76, 8 Se 3.80


Record 6
The following is a PBE-GGA calculation of a relaxed structure of ZnHgSe2Br, from the Alexandria database.

As for the crystal system: tetragonal. Its relative energy among the computed polymorphs is 29 meV/atom. The energy relative to the elements, uncorrected comes out at 1.238 eV per formula unit.

a = 4.6813 Å, b = 4.6813 Å, c = 7.5987 Å
α = 90.00°, β = 90.00°, γ = 90.00°
Closest atoms and distances in Å follow each position.
Fractional coordinates of all 5 atoms:
1 Zn 0.0000 0.0000 0.0000  4 Se 2.34
2 Se 0.5000 0.0000 0.0000  2 Zn 2.34
3 Se 0.0000 0.5000 0.0000  2 Zn 2.34
4 Br 0.5000 0.5000 0.5000  4 Hg 3.31
5 Hg 0.0000 0.0000 0.5000  4 Br 3.31


Record 7
The following is a PBE-GGA calculation of a relaxed structure of ZnHg3Se3Br2, from the Alexandria database.

As for the crystal system: triclinic. The energy relative to the elements, uncorrected comes out at -3.131 eV per formula unit.

a = 7.3807 Å, b = 8.1432 Å, c = 10.6172 Å
α = 107.31°, β = 87.59°, γ = 82.81°
Closest atoms and distances in Å follow each position.
Fractional coordinates of all 18 atoms:
1 Hg 0.5000 0.5000 0.0000  2 Se 2.62
2 Br 0.1223 0.7764 0.1073  1 Hg 2.50
3 Se 0.7185 0.3440 0.4865  2 Zn 2.48-2.53, 1 Hg 2.56
4 Se 0.2815 0.6560 0.5135  2 Zn 2.48-2.53, 1 Hg 2.56
5 Se 0.2430 0.1029 0.3795  2 Hg 2.52-2.53
6 Hg 0.5000 0.0000 0.0000  2 Se 2.54
7 Br 0.6985 0.6507 0.2501  1 Zn 2.47
8 Hg 0.0000 0.5000 0.0000  2 Br 2.50
9 Se 0.3716 0.3109 0.1338  2 Hg 2.54-2.62, 1 Zn 2.56
10 Hg 0.0000 0.0000 0.5000  2 Se 2.52
11 Se 0.6284 0.6891 0.8662  2 Hg 2.54-2.62, 1 Zn 2.56
12 Zn 0.5256 0.4639 0.3396  1 Br 2.47, 3 Se 2.48-2.56
13 Hg 0.5000 0.0000 0.5000  2 Se 2.53
14 Br 0.8777 0.2236 0.8927  1 Hg 2.50
15 Hg 0.0000 0.5000 0.5000  2 Se 2.56
16 Zn 0.4744 0.5361 0.6604  1 Br 2.47, 3 Se 2.48-2.56
17 Br 0.3015 0.3493 0.7499  1 Zn 2.47
18 Se 0.7570 0.8971 0.6205  2 Hg 2.52-2.53


Record 8
The following is a PBE-GGA calculation of a relaxed structure of ZrHgSe2Br, from the Alexandria database.

As for the crystal system: tetragonal. Its relative energy among the computed polymorphs is 1104 meV/atom. The energy relative to the elements, uncorrected comes out at 2.411 eV per formula unit.

a = 5.1926 Å, b = 5.1926 Å, c = 5.3763 Å
α = 90.00°, β = 90.00°, γ = 90.00°
Closest atoms and distances in Å follow each position.
Fractional coordinates of all 5 atoms:
1 Br 0.0000 0.0000 0.5000  2 Hg 2.69
2 Se 0.5000 0.0000 0.0000  2 Hg 2.60
3 Hg 0.0000 0.0000 0.0000  4 Se 2.60, 2 Br 2.69
4 Zr 0.5000 0.5000 0.5000  4 Br 3.67, 8 Se 3.74
5 Se 0.0000 0.5000 0.0000  2 Hg 2.60


What is the formula in the seventh record? ZnHg3Se3Br2